(1)
# LaI3O9

LaI3O9 after structural relaxation (PBE, Alexandria via LeMat-Bulk).

The energy above the most stable polymorph in this dataset comes out at 5.73 eV per formula unit. The spin magnetization comes out at 0.00 μB/atom.

The space group is Pmmn (No. 59, origin choice 2) and the conventional cell measures 6.828, 7.542 and 8.701 Å, with angles of 90.00, 90.00 and 90.00 degrees. The asymmetric unit holds La at (0.250, 0.250, 0.169), I at (0.250, 0.517, 0.686), I at (0.250, 0.750, 0.133), O at (0.030, 0.574, 0.962), O at (0.065, 0.750, 0.668), O at (0.250, 0.250, 0.782) and O at (0.250, 0.559, 0.269).

***

(2)
# La3IO

La3IO after structural relaxation (PBE, Alexandria via LeMat-Bulk).

The energy above the most stable polymorph in this dataset comes out at 0.00 eV per formula unit. The spin magnetization comes out at 0.00 μB/atom.

The space group is Pm-3m (No. 221) and the conventional cell measures 5.052, 5.052 and 5.052 Å, with angles of 90.00, 90.00 and 90.00 degrees. The asymmetric unit holds La at (0.000, 0.000, 0.500), I at (0.500, 0.500, 0.500) and O at (0.000, 0.000, 0.000).

***

(3)
# La2IO2

La2IO2 after structural relaxation (PBE, Alexandria via LeMat-Bulk).

The energy above the most stable polymorph in this dataset comes out at 0.44 eV per formula unit. The spin magnetization comes out at 0.02 μB/atom.

The space group is C2/c (No. 15) and the conventional cell measures 7.206, 10.595 and 7.025 Å, with angles of 90.00, 120.83 and 90.00 degrees. The asymmetric unit holds La at (0.000, 0.051, 0.250), La at (0.000, 0.301, 0.750), I at (0.000, 0.375, 0.250) and O at (0.123, 0.125, 0.996).

***

(4)
# La2I4O

La2I4O after structural relaxation (PBE, Alexandria via LeMat-Bulk).

The total energy comes out at -4.7655 eV per atom. The spin magnetization comes out at 0.00 μB/atom.

The space group is P4_2/mnm (No. 136) and the conventional cell measures 13.500, 13.500 and 3.828 Å, with angles of 90.00, 90.00 and 90.00 degrees. The asymmetric unit holds La at (0.091, 0.091, 0.000), I at (0.048, 0.272, 0.500) and O at (0.000, 0.000, 0.500).

***

(5)
# LaIO4

LaIO4 after structural relaxation (PBE, Alexandria via LeMat-Bulk).

The energy above the most stable polymorph in this dataset comes out at 0.28 eV per formula unit. The spin magnetization comes out at 0.00 μB/atom.

The space group is P2_1/c (No. 14) and the conventional cell measures 5.674, 5.563 and 5.746 Å, with angles of 90.00, 98.03 and 90.00 degrees. The asymmetric unit holds La at (0.000, 0.000, 0.000), I at (0.500, 0.000, 0.500), O at (0.188, 0.159, 0.374) and O at (0.343, 0.705, 0.265).

***

(6)
# LaI3O

LaI3O after structural relaxation (PBE, Alexandria via LeMat-Bulk).

The energy above the most stable polymorph in this dataset comes out at 0.00 eV per formula unit. The spin magnetization comes out at 0.00 μB/atom.

The space group is Pm-3m (No. 221) and the conventional cell measures 5.215, 5.215 and 5.215 Å, with angles of 90.00, 90.00 and 90.00 degrees. The asymmetric unit holds La at (0.000, 0.000, 0.000), I at (0.000, 0.500, 0.500) and O at (0.500, 0.500, 0.500).

***

(7)
# La2I3O

La2I3O after structural relaxation (PBE, Alexandria via LeMat-Bulk).

The total energy comes out at -5.3185 eV per atom. The spin magnetization comes out at 0.00 μB/atom.

The space group is C2/m (No. 12) and the conventional cell measures 20.868, 4.273 and 12.824 Å, with angles of 90.00, 126.14 and 90.00 degrees. The asymmetric unit holds La at (0.066, 0.000, 0.461), La at (0.129, 0.500, 0.771), I at (0.032, 0.500, 0.239), I at (0.170, 0.000, 0.006), I at (0.215, 0.500, 0.622) and O at (0.077, 0.000, 0.659).

***

(8)
# La3IO4

La3IO4 after structural relaxation (PBE, Alexandria via LeMat-Bulk).

The total energy comes out at -7.7249 eV per atom. The spin magnetization comes out at 0.00 μB/atom.

The space group is P4/mmm (No. 123) and the conventional cell measures 4.153, 4.153 and 9.891 Å, with angles of 90.00, 90.00 and 90.00 degrees. The asymmetric unit holds La at (0.000, 0.000, 0.000), La at (0.500, 0.500, 0.252), I at (0.000, 0.000, 0.500) and O at (0.000, 0.500, 0.150).

***

(9)
# LaIO4

LaIO4 after structural relaxation (PBE, Alexandria via LeMat-Bulk).

The energy above the most stable polymorph in this dataset comes out at 0.00 eV per formula unit. The spin magnetization comes out at 0.00 μB/atom.

The space group is I4_1md (No. 109) and the conventional cell measures 7.369, 7.369 and 7.235 Å, with angles of 90.00, 90.00 and 90.00 degrees. The asymmetric unit holds La at (0.000, 0.000, 0.000), I at (0.000, 0.000, 0.505), O at (0.000, 0.281, 0.487) and O at (0.000, 0.321, 0.948).

***

(10)
# La8Os3I4O

La8Os3I4O after structural relaxation (PBE, Alexandria via LeMat-Bulk).

The total energy comes out at -6.2577 eV per atom. The spin magnetization comes out at 0.00 μB/atom.

The space group is C2/m (No. 12) and the conventional cell measures 14.457, 8.309 and 9.537 Å, with angles of 90.00, 120.31 and 90.00 degrees. The asymmetric unit holds La at (0.022, 0.244, 0.323), La at (0.225, 0.000, 0.679), La at (0.231, 0.500, 0.692), Os at (0.000, 0.500, 0.500), Os at (0.250, 0.250, 0.500), I at (0.000, 0.000, 0.000), I at (0.000, 0.500, 0.000), I at (0.250, 0.250, 0.000) and O at (0.000, 0.000, 0.500).

***

(11)
# LaOsIO2

LaOsIO2 after structural relaxation (PBE, Alexandria via LeMat-Bulk).

The energy above the most stable polymorph in this dataset comes out at 0.00 eV per formula unit. The spin magnetization comes out at 0.00 μB/atom.

The space group is P4/mmm (No. 123) and the conventional cell measures 4.208, 4.208 and 5.331 Å, with angles of 90.00, 90.00 and 90.00 degrees. The asymmetric unit holds La at (0.000, 0.000, 0.000), Os at (0.500, 0.500, 0.500), I at (0.500, 0.500, 0.000) and O at (0.000, 0.500, 0.500).

***

(12)
# LaOsIO2

LaOsIO2 after structural relaxation (PBE, Alexandria via LeMat-Bulk).

The energy above the most stable polymorph in this dataset comes out at 1.56 eV per formula unit. The spin magnetization comes out at 0.60 μB/atom.

The space group is P4/mmm (No. 123) and the conventional cell measures 4.241, 4.241 and 7.285 Å, with angles of 90.00, 90.00 and 90.00 degrees. The asymmetric unit holds La at (0.000, 0.000, 0.000), Os at (0.500, 0.500, 0.500), I at (0.000, 0.000, 0.500) and O at (0.000, 0.500, 0.000).

***

(13)
# La8P3I3O

La8P3I3O after structural relaxation (PBE, Alexandria via LeMat-Bulk).

The total energy comes out at -5.7785 eV per atom. The spin magnetization comes out at 0.03 μB/atom.

The space group is C2/m (No. 12) and the conventional cell measures 14.506, 8.394 and 9.132 Å, with angles of 90.00, 121.92 and 90.00 degrees. The asymmetric unit holds La at (0.015, 0.231, 0.313), La at (0.216, 0.000, 0.687), La at (0.232, 0.500, 0.695), P at (0.000, 0.500, 0.500), P at (0.250, 0.250, 0.500), I at (0.000, 0.000, 0.000), I at (0.250, 0.250, 0.000) and O at (0.000, 0.000, 0.500).

***

(14)
# LaPI2O

LaPI2O after structural relaxation (PBE, Alexandria via LeMat-Bulk).

The energy above the most stable polymorph in this dataset comes out at 0.42 eV per formula unit. The spin magnetization comes out at 0.00 μB/atom.

The space group is P4/mmm (No. 123) and the conventional cell measures 5.918, 5.918 and 3.660 Å, with angles of 90.00, 90.00 and 90.00 degrees. The asymmetric unit holds La at (0.000, 0.000, 0.000), P at (0.500, 0.500, 0.500), I at (0.000, 0.500, 0.500) and O at (0.500, 0.500, 0.000).

***

(15)
# LaPI2O

LaPI2O after structural relaxation (PBE, Alexandria via LeMat-Bulk).

The energy above the most stable polymorph in this dataset comes out at 0.00 eV per formula unit. The spin magnetization comes out at 0.45 μB/atom.

The space group is P4/mmm (No. 123) and the conventional cell measures 6.558, 6.558 and 4.287 Å, with angles of 90.00, 90.00 and 90.00 degrees. The asymmetric unit holds La at (0.000, 0.000, 0.000), P at (0.500, 0.500, 0.500), I at (0.000, 0.500, 0.000) and O at (0.000, 0.000, 0.500).

***

(16)
# LaP2IO

LaP2IO after structural relaxation (PBE, Alexandria via LeMat-Bulk).

The energy above the most stable polymorph in this dataset comes out at 0.63 eV per formula unit. The spin magnetization comes out at 0.58 μB/atom.

The space group is P4/mmm (No. 123) and the conventional cell measures 6.023, 6.023 and 4.285 Å, with angles of 90.00, 90.00 and 90.00 degrees. The asymmetric unit holds La at (0.000, 0.000, 0.000), P at (0.000, 0.500, 0.000), I at (0.500, 0.500, 0.500) and O at (0.000, 0.000, 0.500).

***

(17)
# LaP2IO

LaP2IO after structural relaxation (PBE, Alexandria via LeMat-Bulk).

The energy above the most stable polymorph in this dataset comes out at 0.00 eV per formula unit. The spin magnetization comes out at 0.00 μB/atom.

The space group is P4/mmm (No. 123) and the conventional cell measures 5.129, 5.129 and 4.166 Å, with angles of 90.00, 90.00 and 90.00 degrees. The asymmetric unit holds La at (0.000, 0.000, 0.000), P at (0.000, 0.500, 0.500), I at (0.500, 0.500, 0.500) and O at (0.500, 0.500, 0.000).

***

(18)
# La2PaIO8

La2PaIO8 after structural relaxation (PBE, Alexandria via LeMat-Bulk).

The total energy comes out at -7.5834 eV per atom. The spin magnetization comes out at 0.00 μB/atom.

The space group is P2/m (No. 10) and the conventional cell measures 3.855, 7.721 and 5.659 Å, with angles of 90.00, 90.23 and 90.00 degrees. The asymmetric unit holds La at (0.000, 0.248, 0.000), Pa at (0.500, 0.500, 0.500), I at (0.500, 0.000, 0.500), O at (0.002, 0.000, 0.277), O at (0.002, 0.500, 0.272) and O at (0.498, 0.247, 0.726).

***

(19)
# LaPbIO2

LaPbIO2 after structural relaxation (PBE, Alexandria via LeMat-Bulk).

The energy above the most stable polymorph in this dataset comes out at 0.00 eV per formula unit. The spin magnetization comes out at 0.07 μB/atom.

The space group is P4/mmm (No. 123) and the conventional cell measures 4.628, 4.628 and 6.429 Å, with angles of 90.00, 90.00 and 90.00 degrees. The asymmetric unit holds La at (0.000, 0.000, 0.000), Pb at (0.500, 0.500, 0.500), I at (0.000, 0.000, 0.500) and O at (0.000, 0.500, 0.000).

***

(20)
# LaPb2IO8

LaPb2IO8 after structural relaxation (PBE, Alexandria via LeMat-Bulk).

The total energy comes out at -5.6413 eV per atom. The spin magnetization comes out at 0.00 μB/atom.

The space group is Cmmm (No. 65) and the conventional cell measures 7.203, 7.334 and 7.049 Å, with angles of 90.00, 90.00 and 90.00 degrees. The asymmetric unit holds La at (0.000, 0.000, 0.000), Pb at (0.000, 0.500, 0.254), I at (0.000, 0.000, 0.500), O at (0.000, 0.296, 0.500), O at (0.000, 0.318, 0.000) and O at (0.191, 0.000, 0.285).

***

(21)
# LaPbIO2

LaPbIO2 after structural relaxation (PBE, Alexandria via LeMat-Bulk).

The energy above the most stable polymorph in this dataset comes out at 3.22 eV per formula unit. The spin magnetization comes out at 0.00 μB/atom.

The space group is P4/mmm (No. 123) and the conventional cell measures 4.539, 4.539 and 5.983 Å, with angles of 90.00, 90.00 and 90.00 degrees. The asymmetric unit holds La at (0.000, 0.000, 0.000), Pb at (0.500, 0.500, 0.500), I at (0.500, 0.500, 0.000) and O at (0.000, 0.500, 0.500).

***

(22)
# LaPbIO6

LaPbIO6 after structural relaxation (PBE, Alexandria via LeMat-Bulk).

The total energy comes out at -5.8358 eV per atom. The spin magnetization comes out at 0.00 μB/atom.

The space group is P-31c (No. 163) and the conventional cell measures 5.9456, 5.9456 and 9.7381 Å, with angles of 90.00, 90.00 and 120.00 degrees. The asymmetric unit holds La at (0.3333, 0.6667, 0.2500), Pb at (0.0000, 0.0000, 0.0000), I at (0.3333, 0.6667, 0.7500) and O at (0.0640, 0.4033, 0.6394).